No. 1
Material: Zr2NbN4
Method: DFT, PBE
State: optimized geometry

Cell: 3.056 5.478 10.529 Å, 90.00 90.00 106.20°
Atoms (fractional coordinates):
Nb1 0.371 0.741 0.250
Nb2 0.629 0.259 0.750
Zr1 0.128 0.255 0.077
Zr2 0.872 0.745 0.923
Zr3 0.872 0.745 0.577
Zr4 0.128 0.255 0.423
N1 0.500 0.000 0.500
N2 0.224 0.449 0.874
N3 0.776 0.551 0.374
N4 0.500 0.000 0.000
N5 0.224 0.449 0.626
N6 0.015 0.030 0.250
N7 0.985 0.970 0.750
N8 0.776 0.551 0.126

**Total magnetic moment**: 0.00 μB per cell
**V**: 12.09 Å³ per atom
**Formation energy without anion corrections**: -1.195 eV per atom


No. 2
Material: BaHgP
Method: DFT, PBE
State: optimized geometry

Cell: 5.212 5.212 8.773 Å, 112.97 112.97 73.99°
Atoms (fractional coordinates):
P1 0.692 0.692 0.780
P2 0.308 0.308 0.220
Ba1 0.108 0.108 0.800
Ba2 0.892 0.892 0.200
Hg1 0.661 0.661 0.458
Hg2 0.339 0.339 0.542

**DFT formation energy**: -469 meV/atom
**Total magnetic moment**: 0.00 μB per cell
**V**: 33.31 Å³ per atom
**Excess energy over the best structure of this formula in the dataset**: 61 meV per atom


No. 3
Material: NbAgAsO5
Method: DFT, PBE
State: optimized geometry

Cell: 5.844 5.844 7.673 Å, 105.22 105.22 105.93°
Atoms (fractional coordinates):
Nb1 0.000 0.000 0.000
Nb2 0.000 0.000 0.500
O1 0.945 0.055 0.750
O2 0.306 0.898 0.611
O3 0.627 0.757 0.906
O4 0.898 0.306 0.111
O5 0.243 0.373 0.594
O6 0.373 0.243 0.094
O7 0.102 0.694 0.889
O8 0.055 0.945 0.250
O9 0.694 0.102 0.389
O10 0.757 0.627 0.406
As1 0.689 0.311 0.250
As2 0.311 0.689 0.750
Ag1 0.322 0.678 0.250
Ag2 0.678 0.322 0.750

**Total magnetic moment**: 0.00 μB per cell
**V**: 14.17 Å³ per atom
**Formation energy without anion corrections**: -1.434 eV per atom


No. 4
Material: Ba4PmMg5
Method: DFT, PBE
State: optimized geometry

Cell: 4.200 4.200 21.807 Å, 90.00 90.00 90.00°
Atoms (fractional coordinates):
Mg1 0.500 0.500 0.500
Mg2 0.500 0.500 0.291
Mg3 0.500 0.500 0.709
Mg4 0.500 0.500 0.923
Mg5 0.500 0.500 0.077
Ba1 0.000 0.000 0.815
Ba2 0.000 0.000 0.185
Ba3 0.000 0.000 0.396
Ba4 0.000 0.000 0.604
Pm1 0.000 0.000 0.000

**DFT formation energy**: -50 meV/atom
**Total magnetic moment**: 0.00 μB per cell
**V**: 38.47 Å³ per atom


No. 5
Material: Ti2NbHOs
Method: DFT, PBE
State: optimized geometry

Cell: 4.365 4.365 3.509 Å, 90.00 90.00 90.00°
Atoms (fractional coordinates):
Ti1 0.500 0.000 0.000
Ti2 0.000 0.500 0.000
H1 0.000 0.000 0.000
Os1 0.500 0.500 0.500
Nb1 0.000 0.000 0.500

**Total magnetic moment**: 0.00 μB per cell
**V**: 13.37 Å³ per atom
**Excess energy over the best structure of this formula in the dataset**: 0 meV per atom


No. 6
Material: GeTe3Ru
Method: DFT, PBE
State: optimized geometry

Cell: 5.337 5.337 5.337 Å, 90.00 90.00 90.00°
Site moments in Bohr magnetons follow the coordinates.
Atoms (fractional coordinates):
Ge1 0.000 0.000 0.000  0.01
Te1 0.500 0.000 0.000  0.01
Te2 0.000 0.500 0.000  0.04
Te3 0.000 0.000 0.500  0.04
Ru1 0.500 0.500 0.500  2.64

**Total magnetic moment**: 3.06 μB per cell
**V**: 30.40 Å³ per atom
**Formation energy without anion corrections**: 1.191 eV per atom
**Excess energy over the best structure of this formula in the dataset**: 619 meV per atom


No. 7
Material: HPdPtPb2
Method: DFT, PBE
State: optimized geometry

Cell: 5.440 3.333 5.440 Å, 90.00 90.00 90.00°
Atoms (fractional coordinates):
Pb1 0.500 0.000 0.000
Pb2 0.000 0.000 0.500
H1 0.000 0.500 0.000
Pd1 0.000 0.000 0.000
Pt1 0.500 0.500 0.500

**Total magnetic moment**: 0.00 μB per cell
**V**: 19.73 Å³ per atom
**Excess energy over the best structure of this formula in the dataset**: 111 meV per atom


No. 8
Material: U2AsC
Method: DFT, PBE
State: optimized geometry

Cell: 3.693 3.693 6.763 Å, 74.16 74.16 60.00°
Atoms (fractional coordinates):
C1 0.498 0.498 0.505
U1 0.103 0.103 0.692
U2 0.230 0.230 0.309
As1 0.669 0.669 0.994

**DFT formation energy**: -228 meV/atom
**Total magnetic moment**: 0.00 μB per cell
**V**: 18.95 Å³ per atom


No. 9
Material: Ba3MgIn3
Method: DFT, PBE
State: optimized geometry

Cell: 5.352 6.762 16.427 Å, 87.70 80.63 66.69°
Atoms (fractional coordinates):
Ba1 0.539 0.304 0.618
Ba2 0.394 0.287 0.925
Ba3 0.244 0.280 0.232
Ba4 0.461 0.696 0.382
Ba5 0.756 0.720 0.768
Ba6 0.606 0.713 0.075
In1 0.898 0.124 0.080
In2 0.053 0.128 0.767
In3 0.102 0.876 0.920
In4 0.870 0.718 0.541
In5 0.947 0.872 0.233
In6 0.130 0.282 0.459
Mg1 0.754 0.086 0.405
Mg2 0.246 0.914 0.595

**DFT formation energy**: -352 meV/atom
**Total magnetic moment**: 0.00 μB per cell
**V**: 38.46 Å³ per atom


No. 10
Material: LaPmSm2H
Method: DFT, PBE
State: optimized geometry

Cell: 5.153 5.151 5.151 Å, 90.00 90.00 90.00°
Atoms (fractional coordinates):
Sm1 0.000 0.500 0.000
Sm2 0.000 0.000 0.500
La1 0.500 0.500 0.500
Pm1 0.500 0.000 0.000
H1 0.000 0.000 0.000

**Total magnetic moment**: 0.00 μB per cell
**E_tot**: -4.670 eV/atom
**V**: 27.34 Å³ per atom


No. 11
Material: Er2Zn3Cu2
Method: DFT, PBE
State: optimized geometry

Cell: 3.408 4.133 9.600 Å, 102.43 90.00 90.00°
Atoms (fractional coordinates):
Zn1 0.000 0.000 0.000
Zn2 0.500 0.570 0.140
Zn3 0.500 0.430 0.860
Cu1 0.500 0.288 0.577
Cu2 0.500 0.712 0.423
Er1 0.000 0.838 0.677
Er2 0.000 0.162 0.323

**DFT formation energy**: -185 meV/atom
**Total magnetic moment**: 0.00 μB per cell
**V**: 18.87 Å³ per atom
**Excess energy over the best structure of this formula in the dataset**: 134 meV per atom


No. 12
Material: Dy2Si4Ir5
Method: DFT, PBE
State: optimized geometry

Cell: 5.593 5.526 7.621 Å, 79.30 68.47 59.59°
Atoms (fractional coordinates):
Ir1 0.000 0.500 0.000
Ir2 0.250 0.500 0.500
Ir3 0.500 0.000 0.000
Ir4 0.500 0.500 0.000
Ir5 0.750 0.500 0.500
Si1 0.478 0.309 0.736
Si2 0.214 0.309 0.264
Si3 0.522 0.691 0.264
Si4 0.786 0.691 0.736
Dy1 0.875 0.000 0.251
Dy2 0.125 0.000 0.749

**Total magnetic moment**: 0.00 μB per cell
**V**: 17.18 Å³ per atom
**Formation energy without anion corrections**: -0.893 eV per atom